Density functional theory data (PBE-GGA) for Tl2TeRh2 after structural relaxation.

- M_tot (μB/f.u.) = 0.0
- space-group type = P4/mbm, No. 127
- formation energy from raw total energies (meV per atom) = 84.5

a b c (Å): 7.7785 7.7785 3.3834
angles (deg): 90.00 90.00 90.00
Element x y z (fractional)
Tl (0.3526, 0.1474, 0.5000)
Tl (0.6474, 0.8526, 0.5000)
Tl (0.1474, 0.6474, 0.5000)
Tl (0.8526, 0.3526, 0.5000)
Rh (0.3470, 0.8470, 0.0000)
Rh (0.8470, 0.6530, 0.0000)
Rh (0.6530, 0.1530, 0.0000)
Rh (0.1530, 0.3470, 0.0000)
Te (0.0000, 0.0000, 0.0000)
Te (0.5000, 0.5000, 0.0000)

Density functional theory data (PBE-GGA) for TlTeRh after structural relaxation.

- M_tot (μB/f.u.) = 0.0
- space-group type = P-6m2, No. 187
- formation energy from raw total energies (meV per atom) = 39.1

a b c (Å): 4.4145 4.4145 5.0218
angles (deg): 90.00 90.00 120.00
Element x y z (fractional)
Tl (0.3333, 0.6667, 0.5000)
Rh (0.0000, 0.0000, 0.0000)
Te (0.6667, 0.3333, 0.0000)

Density functional theory data (PBE-GGA) for Tl2TeRh after structural relaxation.

- M_tot (μB/f.u.) = 0.0
- offset from the most stable computed form (meV/atom) = 376
- space-group type = I4/mmm, No. 139
- formation energy from raw total energies (meV per atom) = 262.3

a b c (Å): 6.2554 6.2554 6.2554
angles (deg): 140.29 140.29 57.42
Element x y z (fractional)
Rh (0.5000, 0.5000, 0.0000)
Tl (0.7500, 0.2500, 0.5000)
Tl (0.2500, 0.7500, 0.5000)
Te (0.0000, 0.0000, 0.0000)

Density functional theory data (PBE-GGA) for Tl2TeRh after structural relaxation.

- M_tot (μB/f.u.) = 0.0
- offset from the most stable computed form (meV/atom) = 392
- space-group type = P4/mmm, No. 123
- formation energy from raw total energies (meV per atom) = 278.0

a b c (Å): 3.7368 3.7368 6.8572
angles (deg): 90.00 90.00 90.00
Element x y z (fractional)
Tl (0.0000, 0.0000, 0.2197)
Tl (0.0000, 0.0000, 0.7803)
Te (0.5000, 0.5000, 0.5000)
Rh (0.5000, 0.5000, 0.0000)

Density functional theory data (PBE-GGA) for TlTeRh4 after structural relaxation.

- M_tot (μB/f.u.) = 0.0
- space-group type = F-43m, No. 216
- formation energy from raw total energies (meV per atom) = 292.1

a b c (Å): 5.3203 5.3203 5.3203
angles (deg): 60.00 60.00 60.00
Element x y z (fractional)
Rh (0.3752, 0.3752, 0.8744)
Rh (0.8744, 0.3752, 0.3752)
Rh (0.3752, 0.3752, 0.3752)
Rh (0.3752, 0.8744, 0.3752)
Tl (0.0000, 0.0000, 0.0000)
Te (0.7500, 0.7500, 0.7500)

Density functional theory data (PBE-GGA) for TlTe2Rh after structural relaxation.

- M_tot (μB/f.u.) = 0.0
- space-group type = P2/m, No. 10
- formation energy from raw total energies (meV per atom) = -267.1

a b c (Å): 4.0035 5.3850 5.7347
angles (deg): 62.15 90.00 90.00
Element x y z (fractional)
Tl (0.5000, 0.2500, 0.2500)
Te (0.0000, 0.5560, 0.5781)
Te (0.0000, 0.9440, 0.9219)
Rh (0.5000, 0.7500, 0.7500)

Density functional theory data (PBE-GGA) for TlTe8Rh4 after structural relaxation.

- M_tot (μB/f.u.) = 0.0
- space-group type = R-3m, No. 166
- formation energy from raw total energies (meV per atom) = -326.0

a b c (Å): 7.7557 7.7557 9.0928
angles (deg): 64.76 64.76 60.00
Element x y z (fractional)
Rh (0.0000, 0.5000, 0.0000)
Rh (0.5000, 0.5000, 0.0000)
Rh (0.5000, 0.0000, 0.0000)
Rh (0.0000, 0.0000, 0.0000)
Te (0.7713, 0.2749, 0.1826)
Te (0.2710, 0.2710, 0.1869)
Te (0.7251, 0.2287, 0.8174)
Te (0.2749, 0.7713, 0.1826)
Te (0.2287, 0.7251, 0.8174)
Te (0.2287, 0.2287, 0.8174)
Te (0.7713, 0.7713, 0.1826)
Te (0.7290, 0.7290, 0.8131)
Tl (0.5000, 0.5000, 0.5000)

Density functional theory data (PBE-GGA) for TlTe2Rh after structural relaxation.

- M_tot (μB/f.u.) = 0.0
- space-group type = R-3m, No. 166
- formation energy from raw total energies (meV per atom) = -313.8

a b c (Å): 4.0996 4.0996 7.8612
angles (deg): 74.86 74.86 60.03
Element x y z (fractional)
Te (0.9749, 0.9749, 0.0751)
Te (0.5251, 0.5251, 0.4249)
Tl (0.7500, 0.7500, 0.7500)
Rh (0.2500, 0.2500, 0.2500)

Density functional theory data (PBE-GGA) for Tl2TeRh after structural relaxation.

- M_tot (μB/f.u.) = 0.0
- offset from the most stable computed form (meV/atom) = 0
- space-group type = Cm, No. 8
- formation energy from raw total energies (meV per atom) = -114.1

a b c (Å): 4.8058 4.8058 7.3509
angles (deg): 72.03 72.03 45.56
Element x y z (fractional)
Te (0.1950, 0.1950, 0.3718)
Tl (0.8142, 0.8142, 0.7027)
Tl (0.9992, 0.9992, 0.0462)
Rh (0.4916, 0.4916, 0.3793)

Density functional theory data (PBE-GGA) for TlTeRh after structural relaxation.

- M_tot (μB/f.u.) = 0.0
- space-group type = I4mm, No. 107
- formation energy from raw total energies (meV per atom) = -91.6

a b c (Å): 7.1273 7.1273 7.1273
angles (deg): 152.46 152.46 39.34
Element x y z (fractional)
Tl (0.3592, 0.3592, 0.0000)
Te (0.6133, 0.6133, 0.0000)
Rh (0.0275, 0.0275, 0.0000)

Density functional theory data (PBE-GGA) for Tl2TeRh after structural relaxation.

- M_tot (μB/f.u.) = 0.0
- offset from the most stable computed form (meV/atom) = 248
- space-group type = P4/mmm, No. 123
- formation energy from raw total energies (meV per atom) = 133.9

a b c (Å): 3.2463 3.2463 9.3872
angles (deg): 90.00 90.00 90.00
Element x y z (fractional)
Te (0.5000, 0.5000, 0.5000)
Tl (0.0000, 0.0000, 0.8078)
Tl (0.0000, 0.0000, 0.1922)
Rh (0.5000, 0.5000, 0.0000)

Density functional theory data (PBE-GGA) for TlTe2Rh after structural relaxation.

- M_tot (μB/f.u.) = 0.0
- space-group type = P4mm, No. 99
- formation energy from raw total energies (meV per atom) = -57.2

a b c (Å): 3.3150 3.3150 9.6680
angles (deg): 90.00 90.00 90.00
Element x y z (fractional)
Te (0.0000, 0.0000, 0.9148)
Te (0.5000, 0.5000, 0.2616)
Tl (0.0000, 0.0000, 0.5402)
Rh (0.5000, 0.5000, 0.7834)